# CsRb2SiAu PBE-GGA relaxed
# formation energy (no corrections): 0.039 eV per atom
data_CsRb2SiAu
_symmetry_space_group_name_H-M 'P 4/m m m'
_symmetry_Int_Tables_number 123
_symmetry_space_group_name_Hall '-P 4 2'
_cell_length_a 6.883
_cell_length_b 6.883
_cell_length_c 4.777
_cell_angle_alpha 90.00
_cell_angle_beta 90.00
_cell_angle_gamma 90.00
loop_
_atom_site_label
_atom_site_type_symbol
_atom_site_fract_x
_atom_site_fract_y
_atom_site_fract_z
Cs1 Cs 0.000 0.000 0.000
Rb1 Rb 0.000 0.500 0.500
Si1 Si 0.500 0.500 0.000
Au1 Au 0.500 0.500 0.500

# CsRbSn2Au PBE-GGA relaxed
# formation energy from the elements: 0.806 eV/atom
data_CsRbSn2Au
_symmetry_space_group_name_H-M 'P 4/m m m'
_symmetry_Int_Tables_number 123
_symmetry_space_group_name_Hall '-P 4 2'
_cell_length_a 6.614
_cell_length_b 6.614
_cell_length_c 6.500
_cell_angle_alpha 90.00
_cell_angle_beta 90.00
_cell_angle_gamma 90.00
loop_
_atom_site_label
_atom_site_type_symbol
_atom_site_fract_x
_atom_site_fract_y
_atom_site_fract_z
Cs1 Cs 0.000 0.000 0.000
Rb1 Rb 0.500 0.500 0.500
Sn1 Sn 0.000 0.500 0.000
Au1 Au 0.000 0.000 0.500

# CsRbTe2Au2 PBE-GGA relaxed
# formation energy (no corrections): -0.688 eV per atom
data_CsRbTe2Au2
_symmetry_space_group_name_H-M 'P -3 m 1'
_symmetry_Int_Tables_number 164
_symmetry_space_group_name_Hall '-P 3 2"'
_cell_length_a 4.7911
_cell_length_b 4.7911
_cell_length_c 11.0503
_cell_angle_alpha 90.00
_cell_angle_beta 90.00
_cell_angle_gamma 120.00
loop_
_atom_site_label
_atom_site_type_symbol
_atom_site_fract_x
_atom_site_fract_y
_atom_site_fract_z
Cs1 Cs 0.0000 0.0000 0.0000
Rb1 Rb 0.0000 0.0000 0.5000
Te1 Te 0.3333 0.6667 0.2590
Au1 Au 0.3333 0.6667 0.7401

# CsRb2TlAu PBE-GGA relaxed
# formation energy from the elements: 0.037 eV/atom
# offset from the most stable computed form: 10.0 kJ/mol of atoms
data_CsRb2TlAu
_symmetry_space_group_name_H-M 'P 4/m m m'
_symmetry_Int_Tables_number 123
_symmetry_space_group_name_Hall '-P 4 2'
_cell_length_a 7.102
_cell_length_b 7.102
_cell_length_c 5.767
_cell_angle_alpha 90.00
_cell_angle_beta 90.00
_cell_angle_gamma 90.00
loop_
_atom_site_label
_atom_site_type_symbol
_atom_site_fract_x
_atom_site_fract_y
_atom_site_fract_z
Cs1 Cs 0.000 0.000 0.000
Rb1 Rb 0.000 0.500 0.500
Tl1 Tl 0.500 0.500 0.500
Au1 Au 0.500 0.500 0.000

# CsRb2TlAu PBE-GGA relaxed
# formation energy from the elements: -0.021 eV/atom
# offset from the most stable computed form: 4.5 kJ/mol of atoms
data_CsRb2TlAu
_symmetry_space_group_name_H-M 'P 4/m m m'
_symmetry_Int_Tables_number 123
_symmetry_space_group_name_Hall '-P 4 2'
_cell_length_a 6.641
_cell_length_b 6.641
_cell_length_c 6.865
_cell_angle_alpha 90.00
_cell_angle_beta 90.00
_cell_angle_gamma 90.00
loop_
_atom_site_label
_atom_site_type_symbol
_atom_site_fract_x
_atom_site_fract_y
_atom_site_fract_z
Cs1 Cs 0.000 0.000 0.000
Rb1 Rb 0.000 0.500 0.500
Tl1 Tl 0.500 0.500 0.000
Au1 Au 0.000 0.000 0.500

# CsRbTl4Au2 PBE-GGA relaxed
# formation energy from the elements: -0.086 eV/atom
data_CsRbTl4Au2
_symmetry_space_group_name_H-M 'P 4/m m m'
_symmetry_Int_Tables_number 123
_symmetry_space_group_name_Hall '-P 4 2'
_cell_length_a 4.744
_cell_length_b 4.744
_cell_length_c 13.192
_cell_angle_alpha 90.00
_cell_angle_beta 90.00
_cell_angle_gamma 90.00
loop_
_atom_site_label
_atom_site_type_symbol
_atom_site_fract_x
_atom_site_fract_y
_atom_site_fract_z
Cs1 Cs 0.000 0.000 0.000
Rb1 Rb 0.000 0.000 0.500
Tl1 Tl 0.000 0.500 0.260
Au1 Au 0.500 0.500 0.106

# Cs6Rb2TlAu PBE-GGA relaxed
# formation energy from the elements: -0.058 eV/atom
data_Cs6Rb2TlAu
_symmetry_space_group_name_H-M 'C 1 m 1'
_symmetry_Int_Tables_number 8
_cell_length_a 15.021
_cell_length_b 15.026
_cell_length_c 10.598
_cell_angle_alpha 90.00
_cell_angle_beta 134.84
_cell_angle_gamma 90.00
loop_
_symmetry_equiv_pos_as_xyz
'x,y,z'
'x,-y,z'
'x+1/2,y+1/2,z'
'x+1/2,-y+1/2,z'
loop_
_atom_site_label
_atom_site_type_symbol
_atom_site_fract_x
_atom_site_fract_y
_atom_site_fract_z
Cs1 Cs 0.000 0.000 0.000
Cs2 Cs 0.001 0.000 0.486
Cs3 Cs 0.242 0.241 0.485
Cs4 Cs 0.481 0.000 0.965
Cs5 Cs 0.483 0.000 0.485
Rb1 Rb 0.242 0.251 0.985
Tl1 Tl 0.241 0.500 0.482
Au1 Au 0.241 0.000 0.482

# Cs2Rb4TlAu2 PBE-GGA relaxed
# formation energy from the elements: -0.135 eV/atom
data_Cs2Rb4TlAu2
_symmetry_space_group_name_H-M 'P -1'
_symmetry_Int_Tables_number 2
_cell_length_a 6.748
_cell_length_b 8.287
_cell_length_c 10.862
_cell_angle_alpha 96.32
_cell_angle_beta 102.97
_cell_angle_gamma 100.40
loop_
_symmetry_equiv_pos_as_xyz
'x,y,z'
'-x,-y,-z'
loop_
_atom_site_label
_atom_site_type_symbol
_atom_site_fract_x
_atom_site_fract_y
_atom_site_fract_z
Cs1 Cs 0.012 0.174 0.299
Rb1 Rb 0.341 0.734 0.328
Rb2 Rb 0.443 0.247 0.034
Tl1 Tl 0.000 0.500 0.000
Au1 Au 0.100 0.868 0.042

# CsRb2TlAu PBE-GGA relaxed
# formation energy from the elements: -0.067 eV/atom
# offset from the most stable computed form: 0.0 kJ/mol of atoms
data_CsRb2TlAu
_symmetry_space_group_name_H-M 'P 4/m m m'
_symmetry_Int_Tables_number 123
_symmetry_space_group_name_Hall '-P 4 2'
_cell_length_a 6.786
_cell_length_b 6.786
_cell_length_c 5.961
_cell_angle_alpha 90.00
_cell_angle_beta 90.00
_cell_angle_gamma 90.00
loop_
_atom_site_label
_atom_site_type_symbol
_atom_site_fract_x
_atom_site_fract_y
_atom_site_fract_z
Cs1 Cs 0.000 0.000 0.000
Rb1 Rb 0.000 0.500 0.500
Tl1 Tl 0.500 0.500 0.000
Au1 Au 0.500 0.500 0.500

# Cs3Rb2Tl2Au4 PBE-GGA relaxed
# formation energy from the elements: -0.162 eV/atom
data_Cs3Rb2Tl2Au4
_symmetry_space_group_name_H-M 'P -3 m 1'
_symmetry_Int_Tables_number 164
_symmetry_space_group_name_Hall '-P 3 2"'
_cell_length_a 5.6434
_cell_length_b 5.6434
_cell_length_c 17.2735
_cell_angle_alpha 90.00
_cell_angle_beta 90.00
_cell_angle_gamma 120.00
loop_
_atom_site_label
_atom_site_type_symbol
_atom_site_fract_x
_atom_site_fract_y
_atom_site_fract_z
Cs1 Cs 0.0000 0.0000 0.0000
Cs2 Cs 0.0000 0.0000 0.3223
Rb1 Rb 0.3333 0.6667 0.1803
Tl1 Tl 0.3333 0.6667 0.5680
Au1 Au 0.3333 0.6667 0.4037
Au2 Au 0.3333 0.6667 0.8854

# CsRb2ZnAu PBE-GGA relaxed
# formation energy from the elements: 0.030 eV/atom
# offset from the most stable computed form: 4.9 kJ/mol of atoms
data_CsRb2ZnAu
_symmetry_space_group_name_H-M 'P 4/m m m'
_symmetry_Int_Tables_number 123
_symmetry_space_group_name_Hall '-P 4 2'
_cell_length_a 6.903
_cell_length_b 6.903
_cell_length_c 5.194
_cell_angle_alpha 90.00
_cell_angle_beta 90.00
_cell_angle_gamma 90.00
loop_
_atom_site_label
_atom_site_type_symbol
_atom_site_fract_x
_atom_site_fract_y
_atom_site_fract_z
Cs1 Cs 0.000 0.000 0.000
Rb1 Rb 0.000 0.500 0.500
Zn1 Zn 0.500 0.500 0.500
Au1 Au 0.500 0.500 0.000

# CsRbZnAu PBE-GGA relaxed
# formation energy from the elements: -0.008 eV/atom
# offset from the most stable computed form: 15.5 kJ/mol of atoms
data_CsRbZnAu
_symmetry_space_group_name_H-M 'F -4 3 m'
_symmetry_Int_Tables_number 216
_symmetry_space_group_name_Hall 'F -4 2 3'
_cell_length_a 8.732
_cell_length_b 8.732
_cell_length_c 8.732
_cell_angle_alpha 90.00
_cell_angle_beta 90.00
_cell_angle_gamma 90.00
loop_
_atom_site_label
_atom_site_type_symbol
_atom_site_fract_x
_atom_site_fract_y
_atom_site_fract_z
Cs1 Cs 0.000 0.000 0.000
Rb1 Rb 0.000 0.000 0.500
Zn1 Zn 0.250 0.250 0.250
Au1 Au 0.250 0.250 0.750

# CsRbZnAu PBE-GGA relaxed
# formation energy from the elements: -0.169 eV/atom
# offset from the most stable computed form: 0.0 kJ/mol of atoms
data_CsRbZnAu
_symmetry_space_group_name_H-M 'C 1 m 1'
_symmetry_Int_Tables_number 8
_cell_length_a 8.165
_cell_length_b 4.656
_cell_length_c 10.051
_cell_angle_alpha 90.00
_cell_angle_beta 105.98
_cell_angle_gamma 90.00
loop_
_symmetry_equiv_pos_as_xyz
'x,y,z'
'x,-y,z'
'x+1/2,y+1/2,z'
'x+1/2,-y+1/2,z'
loop_
_atom_site_label
_atom_site_type_symbol
_atom_site_fract_x
_atom_site_fract_y
_atom_site_fract_z
Cs1 Cs 0.000 0.000 0.000
Rb1 Rb 0.174 0.000 0.516
Zn1 Zn 0.256 0.500 0.266
Au1 Au 0.425 0.000 0.265

# CsRb2ZnAu PBE-GGA relaxed
# formation energy from the elements: 0.061 eV/atom
# offset from the most stable computed form: 7.9 kJ/mol of atoms
data_CsRb2ZnAu
_symmetry_space_group_name_H-M 'P 4/m m m'
_symmetry_Int_Tables_number 123
_symmetry_space_group_name_Hall '-P 4 2'
_cell_length_a 6.696
_cell_length_b 6.696
_cell_length_c 6.925
_cell_angle_alpha 90.00
_cell_angle_beta 90.00
_cell_angle_gamma 90.00
loop_
_atom_site_label
_atom_site_type_symbol
_atom_site_fract_x
_atom_site_fract_y
_atom_site_fract_z
Cs1 Cs 0.000 0.000 0.000
Rb1 Rb 0.000 0.500 0.500
Zn1 Zn 0.500 0.500 0.000
Au1 Au 0.000 0.000 0.500